Entry 1:
TlInPb2: optimized geometry, PBE.

Values from the calculation:
Its theoretical density is 10.01 g/cm3. The calculation puts the electronic total energy at -0.2291 Ry per atom.

a b c (Å): 3.4642 3.4642 10.1453
angles (deg): 90.00 90.00 90.00
With the nearest neighbours (Å) after each atom.
Sites, in units of the cell vectors:
Tl  0.0000  0.0000  0.0000  4 Tl 3.46, 8 Pb 3.58
In  0.0000  0.0000  0.5000  4 In 3.46, 8 Pb 3.48
Pb  0.5000  0.5000  0.2567  4 Pb 3.46, 4 In 3.48, 4 Tl 3.58
Pb  0.5000  0.5000  0.7433  4 Pb 3.46, 4 In 3.48, 4 Tl 3.58


Entry 2:
Tl2InPb: optimized geometry, PBE.

Values from the calculation:
Its theoretical density is 10.07 g/cm3. The calculation puts the electronic total energy at -0.2037 Ry per atom.

a b c (Å): 3.4301 3.4301 11.1043
angles (deg): 90.00 90.00 112.77
With the nearest neighbours (Å) after each atom.
Sites, in units of the cell vectors:
Tl  0.0000  0.0000  0.2420  2 In 3.29, 4 Tl 3.43, 2 Pb 3.44
Tl  0.0000  0.0000  0.7580  2 In 3.29, 4 Tl 3.43, 2 Pb 3.44
In  0.5000  0.5000  0.0000  4 Tl 3.29, 4 In 3.43
Pb  0.5000  0.5000  0.5000  6 Pb 3.43-3.80, 4 Tl 3.44


Entry 3:
TlIn2Pb5: optimized geometry, PBE.

Values from the calculation:
Its theoretical density is 10.03 g/cm3. The calculation puts the electronic total energy at -0.2393 Ry per atom.

a b c (Å): 6.8438 6.8438 6.8438
angles (deg): 105.80 105.80 117.10
With the nearest neighbours (Å) after each atom.
Sites, in units of the cell vectors:
Tl  0.0000  0.0000  0.0000  10 Pb 3.42-3.57
In  0.0000  0.5000  0.5000  8 Pb 3.42, 2 In 3.57
In  0.5000  0.0000  0.5000  8 Pb 3.42, 2 In 3.57
Pb  0.0000  0.0000  0.5000  4 In 3.42, 4 Pb 3.42-3.57, 2 Tl 3.42
Pb  0.0000  0.5000  0.0000  4 In 3.42, 4 Pb 3.42-3.57, 2 Tl 3.42
Pb  0.5000  0.0000  0.0000  4 In 3.42, 4 Pb 3.42-3.57, 2 Tl 3.42
Pb  0.5000  0.5000  0.0000  8 Pb 3.42, 2 Tl 3.57
Pb  0.5000  0.5000  0.5000  4 In 3.42, 4 Pb 3.42-3.57, 2 Tl 3.42


Entry 4:
Tl3In3Pb4: optimized geometry, PBE.

Values from the calculation:
Its theoretical density is 9.38 g/cm3. The calculation puts the electronic total energy at -0.2167 Ry per atom.

a b c (Å): 3.5408 9.4519 9.4519
angles (deg): 89.04 90.00 90.00
With the nearest neighbours (Å) after each atom.
Sites, in units of the cell vectors:
Tl  0.0000  0.0000  0.0000  6 Pb 3.34-3.40, 2 Tl 3.54
Tl  0.5000  0.3381  0.8321  4 Tl 3.54-3.96, 4 Pb 3.62-3.79, 4 In 3.89-3.92
Tl  0.5000  0.8321  0.3381  4 Tl 3.54-3.96, 4 Pb 3.62-3.79, 4 In 3.89-3.92
In  0.0000  0.1747  0.5029  6 Pb 3.21-3.30, 2 In 3.54
In  0.0000  0.5029  0.1747  6 Pb 3.21-3.30, 2 In 3.54
In  0.0000  0.6695  0.6695  6 Pb 3.25-3.30, 2 In 3.54
Pb  0.5000  0.2097  0.2097  4 In 3.30, 2 Tl 3.34, 3 Pb 3.47-3.54
Pb  0.5000  0.4674  0.4674  6 In 3.25-3.30, 3 Pb 3.47-3.54, 2 Tl 3.64
Pb  0.5000  0.6953  0.9632  4 In 3.21-3.30, 2 Tl 3.40, 3 Pb 3.54-3.55
Pb  0.5000  0.9632  0.6953  4 In 3.21-3.30, 2 Tl 3.40, 3 Pb 3.54-3.55


Entry 5:
TlIn2Pb: optimized geometry, PBE.

Values from the calculation:
Its theoretical density is 9.08 g/cm3. The calculation puts the electronic total energy at -0.2093 Ry per atom.

a b c (Å): 6.4967 6.4967 6.4967
angles (deg): 146.27 128.90 62.64
With the nearest neighbours (Å) after each atom.
Sites, in units of the cell vectors:
Tl  0.0000  0.0000  0.0000  4 In 3.35, 4 Pb 3.38
In  0.2492  0.7492  0.5000  2 Tl 3.35, 2 Pb 3.36, 4 In 3.38
In  0.7508  0.2508  0.5000  2 Tl 3.35, 2 Pb 3.36, 4 In 3.38
Pb  0.5000  0.5000  0.0000  4 In 3.36, 4 Tl 3.38


Entry 6:
TlIn2Pb: optimized geometry, PBE.

Values from the calculation:
Its theoretical density is 9.07 g/cm3. The calculation puts the electronic total energy at -0.2110 Ry per atom.

a b c (Å): 3.5009 4.5612 7.3539
angles (deg): 90.00 90.00 90.00
With the nearest neighbours (Å) after each atom.
Sites, in units of the cell vectors:
Tl  0.0000  0.0000  0.0000  5 In 3.41-3.53, 2 Tl 3.50, 4 Pb 3.55
In  0.0000  0.0000  0.4795  6 In 3.34-3.50, 4 Pb 3.36, 1 Tl 3.53
In  0.5000  0.5000  0.2490  6 In 3.34-3.50, 4 Tl 3.41, 1 Pb 3.44
Pb  0.5000  0.5000  0.7168  5 In 3.36-3.44, 2 Pb 3.50, 4 Tl 3.55


Entry 7:
Tl7InPb2: optimized geometry, PBE.

Values from the calculation:
Its theoretical density is 8.35 g/cm3. The calculation puts the electronic total energy at -0.1661 Ry per atom.

a b c (Å): 8.2004 8.2004 8.2004
angles (deg): 60.00 60.00 60.00
With the nearest neighbours (Å) after each atom.
Sites, in units of the cell vectors:
Tl  0.0000  0.0000  0.0000  6 Tl 2.92
Tl  0.2521  0.2521  0.7479  1 In 2.87, 1 Tl 2.92
Tl  0.2521  0.7479  0.2521  1 In 2.87, 1 Tl 2.92
Tl  0.2521  0.7479  0.7479  1 In 2.87, 1 Tl 2.92
Tl  0.7479  0.2521  0.2521  1 In 2.87, 1 Tl 2.92
Tl  0.7479  0.2521  0.7479  1 In 2.87, 1 Tl 2.92
Tl  0.7479  0.7479  0.2521  1 In 2.87, 1 Tl 2.92
In  0.5000  0.5000  0.5000  6 Tl 2.87
Pb  0.2500  0.2500  0.2500  12 Tl 4.10
Pb  0.7500  0.7500  0.7500  12 Tl 4.10


Entry 8:
TlInPb2: optimized geometry, PBE.

Values from the calculation:
Its theoretical density is 9.55 g/cm3. The calculation puts the electronic total energy at -0.2223 Ry per atom.

a b c (Å): 12.1139 12.1139 12.1139
angles (deg): 157.73 157.73 31.70
With the nearest neighbours (Å) after each atom.
Sites, in units of the cell vectors:
Tl  0.0000  0.0000  0.0000  4 In 3.31, 4 Pb 3.35
Tl  0.7500  0.2500  0.5000  4 In 3.31, 4 Pb 3.35
In  0.2500  0.7500  0.5000  4 Tl 3.31, 4 Pb 3.35
In  0.5000  0.5000  0.0000  4 Tl 3.31, 4 Pb 3.35
Pb  0.1269  0.6250  0.0019  4 Pb 3.30-3.32, 2 In 3.35, 2 Tl 3.35
Pb  0.3750  0.3769  0.5019  4 Pb 3.30-3.32, 2 In 3.35, 2 Tl 3.35
Pb  0.6231  0.1250  0.9981  4 Pb 3.30-3.32, 2 In 3.35, 2 Tl 3.35
Pb  0.8750  0.8731  0.4981  4 Pb 3.30-3.32, 2 In 3.35, 2 Tl 3.35


Entry 9:
Tl7In2Pb2: optimized geometry, PBE.

Values from the calculation:
Its theoretical density is 9.98 g/cm3. The calculation puts the electronic total energy at -0.1940 Ry per atom.

a b c (Å): 6.6206 6.6206 8.1223
angles (deg): 99.54 99.54 92.87
With the nearest neighbours (Å) after each atom.
Sites, in units of the cell vectors:
Tl  0.0000  0.0000  0.0000  2 In 3.42, 6 Tl 3.52-3.57
Tl  0.1026  0.5042  0.8147  3 In 3.26-3.39, 2 Pb 3.46-3.47, 4 Tl 3.51-3.62
Tl  0.1649  0.1649  0.4459  6 Tl 3.33-3.62, 4 Pb 3.46, 1 In 3.49
Tl  0.4958  0.8974  0.1853  3 In 3.26-3.39, 2 Pb 3.46-3.47, 4 Tl 3.51-3.62
Tl  0.5042  0.1026  0.8147  3 In 3.26-3.39, 2 Pb 3.46-3.47, 4 Tl 3.51-3.62
Tl  0.8351  0.8351  0.5541  6 Tl 3.33-3.62, 4 Pb 3.46, 1 In 3.49
Tl  0.8974  0.4958  0.1853  3 In 3.26-3.39, 2 Pb 3.46-3.47, 4 Tl 3.51-3.62
In  0.3841  0.3841  0.1487  8 Tl 3.26-3.49, 2 Pb 3.30, 1 In 3.57
In  0.6159  0.6159  0.8513  8 Tl 3.26-3.49, 2 Pb 3.30, 1 In 3.57
Pb  0.3165  0.6835  0.5000  2 In 3.30, 8 Tl 3.46-3.47, 1 Pb 3.52
Pb  0.6835  0.3165  0.5000  2 In 3.30, 8 Tl 3.46-3.47, 1 Pb 3.52


Entry 10:
TlIn4Pb3: optimized geometry, PBE.

Values from the calculation:
Its theoretical density is 8.93 g/cm3. The calculation puts the electronic total energy at -0.2217 Ry per atom.

a b c (Å): 11.5393 11.5393 6.6350
angles (deg): 105.06 105.06 16.28
With the nearest neighbours (Å) after each atom.
Sites, in units of the cell vectors:
Tl  0.0000  0.0000  0.0000  2 Tl 3.27, 4 In 3.62
In  0.2390  0.2390  0.7531  3 Pb 3.23-3.46, 7 In 3.27-3.58
In  0.3726  0.3726  0.1269  3 Pb 3.23-3.41, 5 In 3.27-3.39
In  0.6274  0.6274  0.8731  3 Pb 3.23-3.41, 5 In 3.27-3.39
In  0.7610  0.7610  0.2469  3 Pb 3.23-3.46, 7 In 3.27-3.58
Pb  0.3676  0.3676  0.6358  5 In 3.23-3.46, 3 Pb 3.27-3.37
Pb  0.5000  0.5000  0.5000  4 Pb 3.27-3.37, 2 In 3.29
Pb  0.6324  0.6324  0.3642  5 In 3.23-3.46, 3 Pb 3.27-3.37


| no. | density of states at the Fermi level (states/eV per cell) |
| --- | --- |
| 1 | 2.14 |
| 2 | 2.00 |
| 3 | 3.93 |
| 4 | 4.68 |
| 5 | 1.95 |
| 6 | 1.30 |
| 7 | 7.25 |
| 8 | 4.57 |
| 9 | 4.86 |
| 10 | 3.55 |